Entry 1:
LaNd4Tm6 | PBE | optimized geometry

Values from the calculation:
The value obtained for the final energy is -4.308 eV/atom. Its density of states at the Fermi level is 1.367 states/eV per atom. Its calculated formation energy is 3.4 eV/f.u. The magnetization comes out at 0.0 μB per formula unit.

a = 6.6754 Å, b = 6.6754 Å, c = 16.9191 Å
α = 90.00°, β = 90.00°, γ = 90.00°
Closest atoms and distances in Å follow each position.
Space group I-42m (No. 121)
Symmetry-distinct sites (fractional):
La 0.0000 0.0000 0.0000 (multiplicity 2)  8 Tm 3.34-3.69, 4 Nd 3.49
Nd 0.1909 0.1909 0.1763 (multiplicity 8)  5 Tm 3.39-3.64, 1 La 3.49, 1 Nd 3.60
Tm 0.0000 0.5000 0.0000 (multiplicity 4)  4 Tm 3.22, 2 La 3.34
Tm 0.1782 0.1782 0.3766 (multiplicity 8)  3 Tm 3.22-3.37, 3 Nd 3.39-3.49

Entry 2:
LaYCu2Hg | PBE | optimized geometry

Values from the calculation:
The value obtained for the final energy is -3.014 eV/atom. Its density of states at the Fermi level is 0.639 states/eV per atom. Its calculated formation energy is 4.8 eV/f.u. The magnetization comes out at 0.0 μB per formula unit.

a = 5.1429 Å, b = 5.1429 Å, c = 5.9612 Å
α = 90.00°, β = 90.00°, γ = 90.00°
Closest atoms and distances in Å follow each position.
Space group P4/mmm (No. 123)
Symmetry-distinct sites (fractional):
La 0.0000 0.0000 0.0000 (multiplicity 1)  4 Cu 2.57
Y 0.0000 0.0000 0.5000 (multiplicity 1)  2 La 2.98
Cu 0.0000 0.5000 0.0000 (multiplicity 2)  2 La 2.57
Hg 0.5000 0.5000 0.5000 (multiplicity 1)  4 Y 3.64, 8 Cu 3.94

Entry 3:
BaAcTm2 | PBE | optimized geometry

Values from the calculation:
The value obtained for the final energy is -3.449 eV/atom. Its density of states at the Fermi level is 1.480 states/eV per atom. Its calculated formation energy is 1.2 eV/f.u. The magnetization comes out at 0.1 μB per formula unit.

a = 3.7028 Å, b = 3.7028 Å, c = 39.3088 Å
α = 90.00°, β = 90.00°, γ = 120.00°
Closest atoms and distances in Å follow each position.
Space group R-3m (No. 166, hexagonal axes)
Symmetry-distinct sites (fractional):
Ba 0.0000 0.0000 0.0000 (multiplicity 3)  2 Tm 3.61, 6 Ba 3.70
Ac 0.0000 0.0000 0.5000 (multiplicity 3)  6 Tm 3.64, 6 Ac 3.70
Tm 0.0000 0.0000 0.0918 (multiplicity 6)  1 Ba 3.61, 3 Ac 3.64, 6 Tm 3.70

Entry 4:
PaMnGe2 | PBE | optimized geometry

Values from the calculation:
The value obtained for the final energy is -7.066 eV/atom. Its density of states at the Fermi level is 1.088 states/eV per atom. Its calculated formation energy is -0.4 eV/f.u. The magnetization comes out at 2.3 μB per formula unit.

a = 3.2721 Å, b = 3.2721 Å, c = 6.5794 Å
α = 90.00°, β = 90.00°, γ = 90.00°
Closest atoms and distances in Å follow each position.
Space group P4/mmm (No. 123)
Symmetry-distinct sites (fractional):
Pa 0.0000 0.0000 0.0000 (multiplicity 1)  8 Ge 3.04, 4 Pa 3.27, 2 Mn 3.29
Mn 0.0000 0.0000 0.5000 (multiplicity 1)  8 Ge 2.66
Ge 0.5000 0.5000 0.3004 (multiplicity 2)  1 Ge 2.63, 4 Mn 2.66

Entry 5:
La5PuSi4 | PBE | optimized geometry

Values from the calculation:
The value obtained for the final energy is -6.512 eV/atom. Its density of states at the Fermi level is 1.222 states/eV per atom. The formation energy (no corrections) is -0.446 eV per atom. The magnetization comes out at 5.8 μB per formula unit.

a = 15.7096 Å, b = 5.2108 Å, c = 6.9799 Å
α = 90.00°, β = 91.55°, γ = 90.00°
Closest atoms and distances in Å follow each position.
Space group C2/m (No. 12)
Symmetry-distinct sites (fractional):
La 0.0000 0.0000 0.0000 (multiplicity 2)  6 Si 3.23-3.26, 2 Pu 3.49
La 0.1601 0.5000 0.9987 (multiplicity 4)  5 Si 3.09-3.21, 1 La 3.37
La 0.1694 0.5000 0.5169 (multiplicity 4)  5 Si 3.02-3.19, 1 La 3.37
Pu 0.0000 0.0000 0.5000 (multiplicity 2)  6 Si 3.05-3.21
Si 0.0081 0.5000 0.2730 (multiplicity 4)  6 La 3.02-3.23, 2 Pu 3.05, 1 Si 3.19
Si 0.1737 0.0000 0.7543 (multiplicity 4)  7 La 3.09-3.26, 1 Pu 3.21

Entry 6:
ZrNpNbOs | PBE | optimized geometry

Values from the calculation:
The value obtained for the final energy is -10.509 eV/atom. Its density of states at the Fermi level is 2.669 states/eV per atom. Its calculated formation energy is 0.8 eV/f.u. The magnetization comes out at 3.2 μB per formula unit.

a = 6.6842 Å, b = 6.6842 Å, c = 6.6842 Å
α = 90.00°, β = 90.00°, γ = 90.00°
Closest atoms and distances in Å follow each position.
Space group F-43m (No. 216)
Symmetry-distinct sites (fractional):
Zr 0.0000 0.0000 0.0000 (multiplicity 4)  4 Os 2.89, 4 Np 2.89
Np 0.2500 0.2500 0.2500 (multiplicity 4)  4 Zr 2.89, 4 Nb 2.89
Nb 0.0000 0.0000 0.5000 (multiplicity 4)  4 Np 2.89, 4 Os 2.89
Os 0.2500 0.2500 0.7500 (multiplicity 4)  4 Zr 2.89, 4 Nb 2.89